VASP calculation (GGA-PBE) on LiPr2Sn3Pt4 after structural relaxation.

Cell and atoms, written as POSCAR:
```
LiPr2Sn3Pt4
1.0
-4.2991 -1.2958 0.2716
0.3234 -0.1327 4.4847
-3.1062 10.4169 0.5323
Li Pr Sn Pt
1 2 3 4
direct
0.5000 0.5000 0.5000
0.5000 0.0000 0.2508
0.0000 0.5000 0.7492
0.0000 0.0000 0.5000
0.5000 0.0000 0.8673
0.0000 0.5000 0.1327
0.5000 0.5000 0.0000
0.0000 0.0000 0.0000
0.5000 0.0000 0.6293
0.0000 0.5000 0.3707
```

SG   P-4m2



VASP calculation (GGA-PBE) on LiPrSn2Pt4 after structural relaxation.

Cell and atoms, written as POSCAR:
```
LiPrSn2Pt4
1.0
4.4858 0.0000 0.0000
2.2429 3.8848 0.0000
2.2429 1.2949 8.8135
Li Pr Sn Pt
1 1 2 4
direct
0.5000 0.5000 0.5000
0.0000 0.0000 0.0000
0.7611 0.7611 0.7168
0.2389 0.2389 0.2832
0.4019 0.4019 0.7944
0.8649 0.8649 0.4053
0.1351 0.1351 0.5947
0.5981 0.5981 0.2056
```

SG   R-3m



VASP calculation (GGA-PBE) on LiPrSnPt3 after structural relaxation.

Cell and atoms, written as POSCAR:
```
LiPrSnPt3
1.0
6.6438 0.0000 0.0000
0.0000 5.8371 0.0000
0.0000 -2.9186 6.1624
Li Pr Sn Pt
2 2 2 6
direct
0.2500 0.9119 0.8237
0.7500 0.0881 0.1763
0.7500 0.3266 0.6532
0.2500 0.6734 0.3468
0.2500 0.3692 0.7385
0.7500 0.6308 0.2615
0.2500 0.1553 0.3105
0.0000 0.2465 0.0000
0.5000 0.7535 0.0000
0.5000 0.2465 0.0000
0.0000 0.7535 0.0000
0.7500 0.8447 0.6895
```

SG   Cmcm



VASP calculation (GGA-PBE) on LiPrSnPt after structural relaxation.

Cell and atoms, written as POSCAR:
```
LiPrSnPt
1.0
-4.0232 2.3665 -1.4352
-3.9011 -2.5145 -1.5181
-4.0318 -0.1476 2.7512
Pr Sn Pt Li
1 1 1 1
direct
0.0000 0.0000 0.0000
0.5000 0.5000 0.5000
0.7500 0.7500 0.7500
0.2500 0.2500 0.2500
```

SG   F-43m



| no. | formation enthalpy at 0 K (meV per atom) | M_tot (μB per formula unit) |
| --- | --- | --- |
| 1 | -831 | 0.00 |
| 2 | -758 | 0.00 |
| 3 | -633 | 0.00 |
| 4 | -848 | 0.00 |